1.
Computed, not measured: a geometry-optimized Ce2CdF8 structure at the PBE level of DFT.

Lattice parameters (Å, degrees): 10.989 7.618 4.310 90.00 109.58 90.00
Space group C2/m (No. 12)
One atom of each set of equivalent atoms:
Ce: 0.175 0.000 0.410 (multiplicity 4)
Cd: 0.000 0.500 0.000 (multiplicity 2)
F: 0.062 0.000 0.807 (multiplicity 4)
F: 0.126 0.303 0.375 (multiplicity 8)
F: 0.198 0.500 0.957 (multiplicity 4)

Summary:
Formation energy from raw total energies: -3.461 eV per atom

2.
Computed, not measured: a geometry-optimized CeTlCdF6 structure at the PBE level of DFT.

Lattice parameters (Å, degrees): 6.3287 6.3287 10.7965 90.00 90.00 120.00
Space group P-31c (No. 163)
One atom of each set of equivalent atoms:
Ce: 0.3333 0.6667 0.2500 (multiplicity 2)
Tl: 0.0000 0.0000 0.0000 (multiplicity 2)
Cd: 0.3333 0.6667 0.7500 (multiplicity 2)
F: 0.0039 0.3762 0.6432 (multiplicity 12)

Summary:
Formation energy from raw total energies: -2.854 eV per atom

3.
Computed, not measured: a geometry-optimized Ce3CdFe structure at the PBE level of DFT.

Lattice parameters (Å, degrees): 6.573 5.250 7.078 90.00 94.65 90.00
Space group P2_1 (No. 4)
One atom of each set of equivalent atoms:
Ce: 0.011 0.000 0.403 (multiplicity 2)
Ce: 0.156 0.499 0.067 (multiplicity 2)
Ce: 0.434 0.999 0.329 (multiplicity 2)
Cd: 0.319 0.999 0.809 (multiplicity 2)
Fe: 0.293 0.499 0.353 (multiplicity 2)

Summary:
VASP energy: -5.51 eV/atom

4.
Computed, not measured: a geometry-optimized Ce3CdFe structure at the PBE level of DFT.

Lattice parameters (Å, degrees): 5.091 5.091 5.091 90.00 90.00 90.00
Space group Pm-3m (No. 221)
One atom of each set of equivalent atoms:
Ce: 0.000 0.000 0.500 (multiplicity 3)
Cd: 0.500 0.500 0.500 (multiplicity 1)
Fe: 0.000 0.000 0.000 (multiplicity 1)

Summary:
VASP energy: -5.51 eV/atom

5.
Computed, not measured: a geometry-optimized Ce6Cd2FeN structure at the PBE level of DFT.

Lattice parameters (Å, degrees): 7.023 7.023 10.397 90.00 90.00 90.00
Space group I4/mmm (No. 139)
One atom of each set of equivalent atoms:
Ce: 0.000 0.000 0.231 (multiplicity 4)
Ce: 0.245 0.245 0.000 (multiplicity 8)
Cd: 0.000 0.500 0.250 (multiplicity 4)
Fe: 0.000 0.000 0.500 (multiplicity 2)
N: 0.000 0.000 0.000 (multiplicity 2)

Summary:
Formation energy from raw total energies: -0.277 eV per atom

6.
Computed, not measured: a geometry-optimized Ce6PuCd2Fe structure at the PBE level of DFT.

Lattice parameters (Å, degrees): 7.235 7.235 10.220 90.00 90.00 90.00
Space group I4/mmm (No. 139)
One atom of each set of equivalent atoms:
Ce: 0.000 0.000 0.242 (multiplicity 4)
Ce: 0.241 0.241 0.000 (multiplicity 8)
Pu: 0.000 0.000 0.000 (multiplicity 2)
Cd: 0.000 0.500 0.250 (multiplicity 4)
Fe: 0.000 0.000 0.500 (multiplicity 2)

Summary:
VASP energy: -6.21 eV/atom

7.
Computed, not measured: a geometry-optimized Ce4CdGa2 structure at the PBE level of DFT.

Lattice parameters (Å, degrees): 5.2513 5.2513 21.7286 90.00 90.00 120.00
Space group R-3m (No. 166, hexagonal axes)
One atom of each set of equivalent atoms:
Ce: 0.0000 0.0000 0.0826 (multiplicity 6)
Ce: 0.0000 0.0000 0.2457 (multiplicity 6)
Cd: 0.0000 0.0000 0.5000 (multiplicity 3)
Ga: 0.0000 0.0000 0.3792 (multiplicity 6)

Summary:
VASP energy: -4.53 eV/atom

8.
Computed, not measured: a geometry-optimized CeCd2Ga structure at the PBE level of DFT.

Lattice parameters (Å, degrees): 4.431 4.431 4.901 90.00 90.00 90.00
Space group P4/mmm (No. 123)
One atom of each set of equivalent atoms:
Ce: 0.000 0.000 0.000 (multiplicity 1)
Cd: 0.000 0.500 0.500 (multiplicity 2)
Ga: 0.500 0.500 0.000 (multiplicity 1)

Summary:
VASP energy: -2.93 eV/atom

Number 1: calculated volume 340 Å³/cell. Number 2: calculated volume 374 Å³/cell. Number 3: calculated volume 243 Å³/cell. Number 4: calculated volume 132 Å³/cell. Number 5: calculated volume 513 Å³/cell. Number 6: calculated volume 535 Å³/cell. Number 7: calculated volume 519 Å³/cell. Number 8: calculated volume 96 Å³/cell.